No. 1
Compound: Cu7Ni
Source: Alexandria via LeMat-Bulk
Functional: GGA-PBEsol
Structure: optimized geometry

Summary:
As for the density of states at the Fermi level: 10.84 states/eV/cell. The formation energy comes out at -0.001 eV per atom.

abc: 7.083 7.083 7.083
angles: 90.00 90.00 90.00
Space group Fm-3m (No. 225)
One atom of each set of equivalent atoms:
Cu (0.000, 0.000, 0.000) [4 per cell]
Cu (0.000, 0.250, 0.250) [24 per cell]
Ni (0.000, 0.000, 0.500) [4 per cell]



No. 2
Compound: Li2ZnNi
Source: Alexandria via LeMat-Bulk
Functional: GGA-PBEsol
Structure: optimized geometry

Summary:
As for the density of states at the Fermi level: 1.40 states/eV/cell. The formation energy comes out at -0.079 eV per atom.

abc: 2.745 2.745 7.183
angles: 90.00 90.00 90.00
Space group P4mm (No. 99)
One atom of each set of equivalent atoms:
Li (0.000, 0.000, 0.000) [1 per cell]
Li (0.500, 0.500, 0.316) [1 per cell]
Zn (0.500, 0.500, 0.744) [1 per cell]
Ni (0.000, 0.000, 0.539) [1 per cell]



No. 3
Compound: ReRh
Source: Alexandria via LeMat-Bulk
Functional: GGA-PBEsol
Structure: optimized geometry

Summary:
As for the density of states at the Fermi level: 1.84 states/eV/cell. The formation energy comes out at -0.130 eV per atom.

abc: 2.7201 2.7201 4.3464
angles: 90.00 90.00 120.00
Space group P-6m2 (No. 187)
One atom of each set of equivalent atoms:
Re (0.0000, 0.0000, 0.0000) [1 per cell]
Rh (0.6667, 0.3333, 0.5000) [1 per cell]



No. 4
Compound: CaCuW3
Source: Alexandria via LeMat-Bulk
Functional: GGA-PBEsol
Structure: optimized geometry

Summary:
As for the density of states at the Fermi level: 4.52 states/eV/cell. The formation energy comes out at 3.358 eV per atom.

abc: 4.493 4.493 4.493
angles: 90.00 90.00 90.00
Space group Pm-3m (No. 221)
One atom of each set of equivalent atoms:
Ca (0.000, 0.000, 0.000) [1 per cell]
Cu (0.500, 0.500, 0.500) [1 per cell]
W (0.000, 0.000, 0.500) [3 per cell]